P:
An optimized crystal structure of Y4HoZn. Source: Alexandria via LeMat-Bulk, functional PBE.

a = 3.5675 Å, b = 3.5675 Å, c = 13.7457 Å
α = 90.00°, β = 90.00°, γ = 90.00°
Closest atoms and distances in Å follow each position.
Fractional positions:
Zn 0.5000 0.5000 0.5000  8 Y 3.09
Y 0.5000 0.5000 0.8189  4 Ho 3.54, 8 Y 3.57-3.63
Y 0.5000 0.5000 0.1811  4 Ho 3.54, 8 Y 3.57-3.63
Y 0.0000 0.0000 0.3707  4 Zn 3.09
Ho 0.0000 0.0000 0.0000  8 Y 3.54, 4 Ho 3.57
Y 0.0000 0.0000 0.6293  4 Zn 3.09

Properties
Total moment   0.00 Bohr magnetons per cell

---

Q:
An optimized crystal structure of Y4HoZn. Source: Alexandria via LeMat-Bulk, functional PBE.

a = 6.2436 Å, b = 9.0130 Å, c = 8.1089 Å
α = 114.33°, β = 100.22°, γ = 111.92°
Closest atoms and distances in Å follow each position.
Fractional positions:
Y 0.6300 0.0791 0.3654  2 Zn 3.04-3.08, 2 Y 3.35-3.40
Y 0.7562 0.3845 0.2143  2 Zn 3.15, 2 Y 3.35-3.45, 1 Ho 3.37
Y 0.9581 0.8298 0.2143  2 Zn 3.15, 2 Y 3.35-3.45, 1 Ho 3.37
Zn 0.7507 0.0007 0.0013  8 Y 3.04-3.15, 2 Zn 3.12
Y 0.7646 0.7137 0.6346  2 Zn 3.04-3.08, 2 Y 3.35-3.40
Y 0.3700 0.9209 0.6346  2 Zn 3.04-3.08, 2 Y 3.35-3.40
Y 0.2354 0.2863 0.3654  2 Zn 3.04-3.08, 2 Y 3.35-3.40
Ho 0.3490 0.5990 0.1979  10 Y 3.37-3.74
Y 0.2438 0.6155 0.7857  2 Zn 3.15, 2 Y 3.35-3.45, 1 Ho 3.37
Zn 0.2493 0.9993 0.9987  8 Y 3.04-3.15, 2 Zn 3.12
Ho 0.6510 0.4010 0.8021  10 Y 3.37-3.74
Y 0.0419 0.1702 0.7857  2 Zn 3.15, 2 Y 3.35-3.45, 1 Ho 3.37

Properties
Total moment   0.00 Bohr magnetons per cell

---

What is the stability order? It is P, Q, from most stable to least stable.

---

P:
An optimized crystal structure of YHo2Zr. Source: Alexandria via LeMat-Bulk, functional PBE.

a = 4.0029 Å, b = 4.0029 Å, c = 7.2523 Å
α = 90.00°, β = 90.00°, γ = 90.00°
Closest atoms and distances in Å follow each position.
Fractional positions:
Y 0.5000 0.5000 0.0000  8 Ho 3.47, 2 Zr 3.63
Ho 0.0000 0.0000 0.2759  1 Ho 3.25, 4 Zr 3.26, 4 Y 3.47
Zr 0.5000 0.5000 0.5000  8 Ho 3.26, 2 Y 3.63
Ho 0.0000 0.0000 0.7241  1 Ho 3.25, 4 Zr 3.26, 4 Y 3.47

Properties
Total moment   0.00 Bohr magnetons per cell

---

Q:
An optimized crystal structure of YHo2Zr. Source: Alexandria via LeMat-Bulk, functional PBE.

a = 3.4612 Å, b = 3.4612 Å, c = 11.3404 Å
α = 81.22°, β = 81.22°, γ = 60.00°
Closest atoms and distances in Å follow each position.
Fractional positions:
Y 0.5003 0.5003 0.4992  6 Y 3.46, 6 Ho 3.56-3.58
Ho 0.2548 0.2548 0.2355  3 Zr 3.30, 6 Ho 3.46, 3 Y 3.56
Ho 0.0784 0.0784 0.7648  3 Zr 3.30, 6 Ho 3.46, 3 Y 3.58
Zr 0.6665 0.6665 0.0004  6 Ho 3.30, 6 Zr 3.46

Properties
Total moment   0.00 Bohr magnetons per cell

---

What is the stability order? It is Q, P, from most stable to least stable.

---

P:
An optimized crystal structure of Y7Ho12Zr. Source: Alexandria via LeMat-Bulk, functional PBE.

a = 9.7992 Å, b = 9.7992 Å, c = 9.7992 Å
α = 109.47°, β = 109.47°, γ = 109.47°
Closest atoms and distances in Å follow each position.
Fractional positions:
Y 0.0000 0.0000 0.5000  6 Ho 2.88
Ho 0.5674 0.7836 0.7838  2 Y 2.88
Ho 0.2162 0.9998 0.7836  2 Y 2.88
Ho 0.7838 0.0002 0.2164  2 Y 2.88
Ho 0.2164 0.2162 0.4326  2 Y 2.88
Ho 0.4326 0.2164 0.2162  2 Y 2.88
Ho 0.0002 0.2164 0.7838  2 Y 2.88
Ho 0.9998 0.7836 0.2162  2 Y 2.88
Y 0.0000 0.5000 0.0000  6 Ho 2.88
Y 0.5000 0.0000 0.0000  6 Ho 2.88
Y 0.5000 0.5000 0.0000  8 Ho 4.03-4.04
Y 0.5000 0.0000 0.5000  8 Ho 4.03-4.04
Ho 0.7838 0.5674 0.7836  2 Y 2.88
Ho 0.2162 0.4326 0.2164  2 Y 2.88
Y 0.0000 0.5000 0.5000  8 Ho 4.03-4.04
Y 0.5000 0.5000 0.5000  6 Ho 2.88
Zr 0.0000 0.0000 0.0000  12 Ho 3.46
Ho 0.2164 0.7838 0.0002  2 Y 2.88
Ho 0.7836 0.7838 0.5674  2 Y 2.88
Ho 0.7836 0.2162 0.9998  2 Y 2.88

Properties
Total moment   0.00 Bohr magnetons per cell

---

Q:
An optimized crystal structure of Y7Ho12Zr. Source: Alexandria via LeMat-Bulk, functional PBE.

a = 8.6562 Å, b = 8.6562 Å, c = 8.6562 Å
α = 90.69°, β = 90.69°, γ = 90.69°
Closest atoms and distances in Å follow each position.
Fractional positions:
Y 0.6684 0.0688 0.9729  1 Zr 2.95, 1 Y 3.18
Y 0.9729 0.6684 0.0688  1 Zr 2.95, 1 Y 3.18
Ho 0.2357 0.6319 0.7744  5 Y 3.43-3.51, 7 Ho 3.58-3.75
Y 0.0271 0.3316 0.9312  1 Zr 2.95, 1 Y 3.18
Ho 0.2256 0.7643 0.3681  5 Y 3.43-3.51, 7 Ho 3.58-3.75
Ho 0.4510 0.1236 0.3585  8 Ho 3.38-3.75, 2 Y 3.44-3.49
Ho 0.7643 0.3681 0.2256  5 Y 3.43-3.51, 7 Ho 3.58-3.75
Ho 0.5490 0.8764 0.6415  8 Ho 3.38-3.75, 2 Y 3.44-3.49
Ho 0.6415 0.5490 0.8764  8 Ho 3.38-3.75, 2 Y 3.44-3.49
Ho 0.1236 0.3585 0.4510  8 Ho 3.38-3.75, 2 Y 3.44-3.49
Ho 0.7744 0.2357 0.6319  5 Y 3.43-3.51, 7 Ho 3.58-3.75
Y 0.5000 0.5000 0.5000  12 Ho 3.49-3.51
Ho 0.8764 0.6415 0.5490  8 Ho 3.38-3.75, 2 Y 3.44-3.49
Ho 0.6319 0.7744 0.2357  5 Y 3.43-3.51, 7 Ho 3.58-3.75
Zr 0.0000 0.0000 0.0000  6 Y 2.95
Y 0.0688 0.9729 0.6684  1 Zr 2.95, 1 Y 3.18
Y 0.9312 0.0271 0.3316  1 Zr 2.95, 1 Y 3.18
Y 0.3316 0.9312 0.0271  1 Zr 2.95, 1 Y 3.18
Ho 0.3681 0.2256 0.7643  5 Y 3.43-3.51, 7 Ho 3.58-3.75
Ho 0.3585 0.4510 0.1236  8 Ho 3.38-3.75, 2 Y 3.44-3.49

Properties
Total moment   1.28 Bohr magnetons per cell

---

What is the stability order? It is Q, P, from most stable to least stable.

---

P:
An optimized crystal structure of Ho4Zn3. Source: Alexandria via LeMat-Bulk, functional PBE.

a = 4.9860 Å, b = 4.9860 Å, c = 8.5137 Å
α = 72.97°, β = 72.97°, γ = 60.00°
Closest atoms and distances in Å follow each position.
Fractional positions:
Zn 0.7475 0.7475 0.7574  8 Ho 3.00-3.09
Ho 0.6210 0.6210 0.1371  7 Zn 3.00-3.08
Zn 0.2525 0.2525 0.2426  8 Ho 3.00-3.09
Zn 0.0000 0.0000 0.0000  8 Ho 3.06-3.08
Ho 0.8727 0.8727 0.3819  5 Zn 3.01-3.09
Ho 0.1273 0.1273 0.6181  5 Zn 3.01-3.09
Ho 0.3790 0.3790 0.8629  7 Zn 3.00-3.08

Properties
Total moment   0.00 Bohr magnetons per cell

---

Q:
An optimized crystal structure of Ho4Zn3. Source: Alexandria via LeMat-Bulk, functional PBE.

a = 4.9288 Å, b = 4.9288 Å, c = 9.0553 Å
α = 74.21°, β = 74.21°, γ = 60.00°
Closest atoms and distances in Å follow each position.
Fractional positions:
Zn 0.5000 0.5000 0.5000  2 Zn 2.43
Ho 0.7078 0.7078 0.8766  4 Zn 2.93-2.96
Zn 0.5941 0.5941 0.2177  1 Zn 2.43
Ho 0.8756 0.8756 0.3732  6 Zn 3.05-3.14
Ho 0.2922 0.2922 0.1234  4 Zn 2.93-2.96
Zn 0.4059 0.4059 0.7823  1 Zn 2.43
Ho 0.1244 0.1244 0.6268  6 Zn 3.05-3.14

Properties
Total moment   0.00 Bohr magnetons per cell

---

What is the stability order? It is P, Q, from most stable to least stable.